Entry 1:
VASP calculation (PBE-GGA) on a geometry-optimized Na4CaTl structure.

```
data_Na4CaTl
_chemical_formula_sum 'Na16 Ca4 Tl4'
_cell_length_a 9.221
_cell_length_b 9.221
_cell_length_c 9.221
_cell_angle_alpha 90.00
_cell_angle_beta 90.00
_cell_angle_gamma 90.00
_space_group_name_H-M_alt 'F -4 3 m'
_space_group_IT_number 216
_space_group_name_Hall 'F -4 2 3'
loop_
_atom_site_label
_atom_site_type_symbol
_atom_site_fract_x
_atom_site_fract_y
_atom_site_fract_z
_atom_site_occupancy
Na1 Na 0.124 0.124 0.124 1
Ca1 Ca 0.000 0.000 0.500 1
Tl1 Tl 0.250 0.250 0.750 1
```

For the total magnetization, the calculation gives 0.00 μB per cell. The value obtained for the formation energy is 0.031 eV per atom. For the calculated density, the calculation gives 2.85 g/cm³. As for the volume: 783.9 Å³/cell. Its crystal system is cubic. Its density of states at the Fermi level is 1.000 states/eV per atom. The value obtained for the total energy is -1.58 eV per atom.



Entry 2:
VASP calculation (PBE-GGA) on a geometry-optimized BaLaMo2 structure.

```
data_BaLaMo2
_chemical_formula_sum 'Ba1 La1 Mo2'
_cell_length_a 3.926
_cell_length_b 4.426
_cell_length_c 7.027
_cell_angle_alpha 90.00
_cell_angle_beta 90.00
_cell_angle_gamma 90.00
_space_group_name_H-M_alt 'P m m m'
_space_group_IT_number 47
loop_
_space_group_symop_operation_xyz
'x,y,z'
'-x,-y,-z'
'-x,-y,z'
'x,y,-z'
'x,-y,-z'
'-x,y,z'
'-x,y,-z'
'x,-y,z'
loop_
_atom_site_label
_atom_site_type_symbol
_atom_site_fract_x
_atom_site_fract_y
_atom_site_fract_z
_atom_site_occupancy
Ba1 Ba 0.000 0.000 0.000 1
La1 La 0.000 0.000 0.500 1
Mo1 Mo 0.500 0.500 0.344 1
```

For the total magnetization, the calculation gives 0.00 μB per cell. The value obtained for the formation energy is 0.781 eV per atom. For the calculated density, the calculation gives 6.37 g/cm³. As for the volume: 122.1 Å³/cell. Its crystal system is orthorhombic. Its density of states at the Fermi level is 0.908 states/eV per atom. The value obtained for the total energy is -6.35 eV per atom.



Entry 3:
VASP calculation (PBE-GGA) on a geometry-optimized LiGaHgRh structure.

```
data_LiGaHgRh
_chemical_formula_sum 'Li4 Ga4 Hg4 Rh4'
_cell_length_a 6.334
_cell_length_b 6.334
_cell_length_c 6.334
_cell_angle_alpha 90.00
_cell_angle_beta 90.00
_cell_angle_gamma 90.00
_space_group_name_H-M_alt 'F -4 3 m'
_space_group_IT_number 216
_space_group_name_Hall 'F -4 2 3'
loop_
_atom_site_label
_atom_site_type_symbol
_atom_site_fract_x
_atom_site_fract_y
_atom_site_fract_z
_atom_site_occupancy
Li1 Li 0.000 0.000 0.000 1
Ga1 Ga 0.250 0.250 0.750 1
Hg1 Hg 0.250 0.250 0.250 1
Rh1 Rh 0.000 0.000 0.500 1
```

For the total magnetization, the calculation gives 0.00 μB per cell. The value obtained for the formation energy is -0.312 eV per atom. For the calculated density, the calculation gives 9.94 g/cm³. As for the volume: 254.1 Å³/cell. Its crystal system is cubic. Its density of states at the Fermi level is 0.249 states/eV per atom. The value obtained for the total energy is -3.46 eV per atom.



Entry 4:
VASP calculation (PBE-GGA) on a geometry-optimized CuHgAs2 structure.

```
data_CuHgAs2
_chemical_formula_sum 'Cu3 Hg3 As6'
_cell_length_a 3.0714
_cell_length_b 3.0714
_cell_length_c 30.0252
_cell_angle_alpha 90.00
_cell_angle_beta 90.00
_cell_angle_gamma 120.00
_space_group_name_H-M_alt 'R -3 m'
_space_group_IT_number 166
_space_group_name_Hall '-R 3 2"'
loop_
_atom_site_label
_atom_site_type_symbol
_atom_site_fract_x
_atom_site_fract_y
_atom_site_fract_z
_atom_site_occupancy
Cu1 Cu 0.0000 0.0000 0.0000 1
Hg1 Hg 0.0000 0.0000 0.5000 1
As1 As 0.0000 0.0000 0.2724 1
```

For the total magnetization, the calculation gives 0.00 μB per cell. The value obtained for the formation energy is 0.245 eV per atom. For the calculated density, the calculation gives 8.41 g/cm³. As for the volume: 245.3 Å³/cell. Its crystal system is trigonal. Its density of states at the Fermi level is 0.660 states/eV per atom. The value obtained for the total energy is -3.18 eV per atom.



Entry 5:
VASP calculation (PBE-GGA) on a geometry-optimized Ag3Pd2Au8 structure.

```
data_Ag3Pd2Au8
_chemical_formula_sum 'Ag9 Pd6 Au24'
_cell_length_a 5.3933
_cell_length_b 5.3933
_cell_length_c 30.4827
_cell_angle_alpha 90.00
_cell_angle_beta 90.00
_cell_angle_gamma 120.00
_space_group_name_H-M_alt 'R -3 m'
_space_group_IT_number 166
_space_group_name_Hall '-R 3 2"'
loop_
_atom_site_label
_atom_site_type_symbol
_atom_site_fract_x
_atom_site_fract_y
_atom_site_fract_z
_atom_site_occupancy
Ag1 Ag 0.0000 0.0000 0.0000 1
Ag2 Ag 0.0000 0.0000 0.1823 1
Pd1 Pd 0.0000 0.0000 0.3605 1
Au1 Au 0.0000 0.0000 0.2745 1
Au2 Au 0.0013 0.5006 0.7692 1
```

For the total magnetization, the calculation gives 0.00 μB per cell. The value obtained for the formation energy is 0.145 eV per atom. For the calculated density, the calculation gives 13.70 g/cm³. As for the volume: 767.9 Å³/cell. Its crystal system is trigonal. Its density of states at the Fermi level is 0.329 states/eV per atom. The value obtained for the total energy is -3.33 eV per atom.



Entry 6:
VASP calculation (PBE-GGA) on a geometry-optimized Mg2GaAs2Rh5 structure.

```
data_Mg2GaAs2Rh5
_chemical_formula_sum 'Mg4 Ga2 As4 Rh10'
_cell_length_a 9.458
_cell_length_b 9.458
_cell_length_c 3.510
_cell_angle_alpha 90.00
_cell_angle_beta 90.00
_cell_angle_gamma 90.00
_space_group_name_H-M_alt 'P 4/m b m'
_space_group_IT_number 127
_space_group_name_Hall '-P 4 2ab'
loop_
_atom_site_label
_atom_site_type_symbol
_atom_site_fract_x
_atom_site_fract_y
_atom_site_fract_z
_atom_site_occupancy
Mg1 Mg 0.170 0.330 0.000 1
Ga1 Ga 0.000 0.000 0.000 1
As1 As 0.131 0.631 0.000 1
Rh1 Rh 0.000 0.500 0.500 1
Rh2 Rh 0.072 0.799 0.500 1
```

For the total magnetization, the calculation gives 0.00 μB per cell. The value obtained for the formation energy is -0.515 eV per atom. For the calculated density, the calculation gives 8.28 g/cm³. As for the volume: 314.0 Å³/cell. Its crystal system is tetragonal. Its density of states at the Fermi level is 0.400 states/eV per atom. The value obtained for the total energy is -5.74 eV per atom.



Entry 7:
VASP calculation (PBE-GGA) on a geometry-optimized LiAlAgGe structure.

```
data_LiAlAgGe
_chemical_formula_sum 'Li4 Al4 Ag4 Ge4'
_cell_length_a 6.439
_cell_length_b 6.439
_cell_length_c 6.439
_cell_angle_alpha 90.00
_cell_angle_beta 90.00
_cell_angle_gamma 90.00
_space_group_name_H-M_alt 'F -4 3 m'
_space_group_IT_number 216
_space_group_name_Hall 'F -4 2 3'
loop_
_atom_site_label
_atom_site_type_symbol
_atom_site_fract_x
_atom_site_fract_y
_atom_site_fract_z
_atom_site_occupancy
Li1 Li 0.000 0.000 0.000 1
Al1 Al 0.000 0.000 0.500 1
Ag1 Ag 0.250 0.250 0.250 1
Ge1 Ge 0.250 0.250 0.750 1
```

For the total magnetization, the calculation gives 0.00 μB per cell. The value obtained for the formation energy is -0.106 eV per atom. For the calculated density, the calculation gives 5.33 g/cm³. As for the volume: 267.0 Å³/cell. Its crystal system is cubic. Its density of states at the Fermi level is 0.614 states/eV per atom. The value obtained for the total energy is -3.39 eV per atom.



Entry 8:
VASP calculation (PBE-GGA) on a geometry-optimized TmPuRe4 structure.

```
data_TmPuRe4
_chemical_formula_sum 'Tm4 Pu4 Re16'
_cell_length_a 7.637
_cell_length_b 7.637
_cell_length_c 7.637
_cell_angle_alpha 90.00
_cell_angle_beta 90.00
_cell_angle_gamma 90.00
_space_group_name_H-M_alt 'F -4 3 m'
_space_group_IT_number 216
_space_group_name_Hall 'F -4 2 3'
loop_
_atom_site_label
_atom_site_type_symbol
_atom_site_fract_x
_atom_site_fract_y
_atom_site_fract_z
_atom_site_occupancy
Tm1 Tm 0.000 0.000 0.000 1
Pu1 Pu 0.250 0.250 0.750 1
Re1 Re 0.125 0.125 0.375 1
```

For the total magnetization, the calculation gives 24.51 μB per cell. The value obtained for the formation energy is -0.101 eV per atom. For the calculated density, the calculation gives 17.26 g/cm³. As for the volume: 445.5 Å³/cell. Its crystal system is cubic. Its density of states at the Fermi level is 1.589 states/eV per atom. The value obtained for the total energy is -11.53 eV per atom.



Entry 9:
VASP calculation (PBE-GGA) on a geometry-optimized TmAlGa4 structure.

```
data_TmAlGa4
_chemical_formula_sum 'Tm2 Al2 Ga8'
_cell_length_a 5.619
_cell_length_b 8.780
_cell_length_c 5.048
_cell_angle_alpha 90.00
_cell_angle_beta 109.37
_cell_angle_gamma 90.00
_space_group_name_H-M_alt 'C 1 2/m 1'
_space_group_IT_number 12
loop_
_space_group_symop_operation_xyz
'x,y,z'
'-x,-y,-z'
'-x,y,-z'
'x,-y,z'
'x+1/2,y+1/2,z'
'-x+1/2,-y+1/2,-z'
'-x+1/2,y+1/2,-z'
'x+1/2,-y+1/2,z'
loop_
_atom_site_label
_atom_site_type_symbol
_atom_site_fract_x
_atom_site_fract_y
_atom_site_fract_z
_atom_site_occupancy
Tm1 Tm 0.000 0.000 0.000 1
Al1 Al 0.000 0.500 0.500 1
Ga1 Ga 0.000 0.185 0.500 1
Ga2 Ga 0.000 0.345 0.000 1
```

For the total magnetization, the calculation gives 0.00 μB per cell. The value obtained for the formation energy is -0.175 eV per atom. For the calculated density, the calculation gives 6.71 g/cm³. As for the volume: 234.9 Å³/cell. Its crystal system is monoclinic. Its density of states at the Fermi level is 0.409 states/eV per atom. The value obtained for the total energy is -3.56 eV per atom.



Entry 10:
VASP calculation (PBE-GGA) on a geometry-optimized LaTcB14 structure.

```
data_LaTcB14
_chemical_formula_sum 'La4 Tc4 B56'
_cell_length_a 5.900
_cell_length_b 10.938
_cell_length_c 8.340
_cell_angle_alpha 90.00
_cell_angle_beta 90.00
_cell_angle_gamma 90.00
_space_group_name_H-M_alt 'I m m a'
_space_group_IT_number 74
_space_group_name_Hall '-I 2b 2'
loop_
_atom_site_label
_atom_site_type_symbol
_atom_site_fract_x
_atom_site_fract_y
_atom_site_fract_z
_atom_site_occupancy
La1 La 0.000 0.250 0.127 1
Tc1 Tc 0.250 0.250 0.750 1
B1 B 0.000 0.083 0.668 1
B2 B 0.000 0.121 0.866 1
B3 B 0.000 0.166 0.466 1
B4 B 0.162 0.060 0.340 1
B5 B 0.247 0.077 0.550 1
```

For the total magnetization, the calculation gives 0.00 μB per cell. The value obtained for the formation energy is -0.112 eV per atom. For the calculated density, the calculation gives 4.79 g/cm³. As for the volume: 538.3 Å³/cell. Its crystal system is orthorhombic. Its density of states at the Fermi level is 0.234 states/eV per atom. The value obtained for the total energy is -6.91 eV per atom.



Entry 11:
VASP calculation (PBE-GGA) on a geometry-optimized Ba2MgBi2 structure.

```
data_Ba2MgBi2
_chemical_formula_sum 'Ba8 Mg4 Bi8'
_cell_length_a 5.046
_cell_length_b 18.863
_cell_length_c 8.705
_cell_angle_alpha 90.00
_cell_angle_beta 90.00
_cell_angle_gamma 90.00
_space_group_name_H-M_alt 'C m c 21'
_space_group_IT_number 36
loop_
_space_group_symop_operation_xyz
'x,y,z'
'-x,-y,z+1/2'
'-x,y,z'
'x,-y,z+1/2'
'x+1/2,y+1/2,z'
'-x+1/2,-y+1/2,z+1/2'
'-x+1/2,y+1/2,z'
'x+1/2,-y+1/2,z+1/2'
loop_
_atom_site_label
_atom_site_type_symbol
_atom_site_fract_x
_atom_site_fract_y
_atom_site_fract_z
_atom_site_occupancy
Ba1 Ba 0.000 0.032 0.000 1
Ba2 Ba 0.000 0.206 0.668 1
Mg1 Mg 0.000 0.408 0.851 1
Bi1 Bi 0.000 0.169 0.271 1
Bi2 Bi 0.000 0.436 0.206 1
```

For the total magnetization, the calculation gives 0.00 μB per cell. The value obtained for the formation energy is -0.812 eV per atom. For the calculated density, the calculation gives 5.75 g/cm³. As for the volume: 828.6 Å³/cell. Its crystal system is orthorhombic. The value obtained for the total energy is -3.45 eV per atom.



Entry 12:
VASP calculation (PBE-GGA) on a geometry-optimized Tb3Sb4Rh8 structure.

```
data_Tb3Sb4Rh8
_chemical_formula_sum 'Tb24 Sb32 Rh64'
_cell_length_a 13.020
_cell_length_b 13.020
_cell_length_c 13.020
_cell_angle_alpha 90.00
_cell_angle_beta 90.00
_cell_angle_gamma 90.00
_space_group_name_H-M_alt 'F m -3 m'
_space_group_IT_number 225
_space_group_name_Hall '-F 4 2 3'
loop_
_atom_site_label
_atom_site_type_symbol
_atom_site_fract_x
_atom_site_fract_y
_atom_site_fract_z
_atom_site_occupancy
Tb1 Tb 0.000 0.000 0.228 1
Sb1 Sb 0.000 0.000 0.000 1
Sb2 Sb 0.000 0.000 0.500 1
Sb3 Sb 0.000 0.250 0.250 1
Rh1 Rh 0.120 0.120 0.380 1
Rh2 Rh 0.165 0.165 0.165 1
```

For the total magnetization, the calculation gives 0.00 μB per cell. For the calculated density, the calculation gives 10.76 g/cm³. As for the volume: 2206.9 Å³/cell. Its crystal system is cubic. Its density of states at the Fermi level is 0.641 states/eV per atom. The value obtained for the total energy is -6.68 eV per atom. The value obtained for the uncorrected formation energy is -11.1 eV/f.u.